Entry from the Alexandria database: a geometry-optimized Tm3SiN structure (PBE).

Geometry as CIF:
```
data_Tm3SiN
_cell_length_a 4.611
_cell_length_b 4.611
_cell_length_c 4.611
_cell_angle_alpha 90.00
_cell_angle_beta 90.00
_cell_angle_gamma 90.00
_space_group_name_H-M_alt 'P m -3 m'
_space_group_IT_number 221
_space_group_name_Hall '-P 4 2 3'
loop_
_atom_site_label
_atom_site_type_symbol
_atom_site_fract_x
_atom_site_fract_y
_atom_site_fract_z
Tm1 Tm 0.000 0.000 0.500
Si1 Si 0.500 0.500 0.500
N1 N 0.000 0.000 0.000
```

Computed properties:
The magnetic moment comes out at 0.00 μB per cell. For the formation energy without anion corrections, the calculation gives -0.94 eV per atom. The calculated volume is 19.6 Å³ per atom.